1.
# CdIn6Pb3

CdIn6Pb3 after structural relaxation (PBE, Alexandria via LeMat-Bulk).

Properties
Uncorrected energy (eV/cell): -55.9
Polymorph energy (0 for the lowest one) (eV/f.u.): 0.00
Energy of formation (eV/atom): 0.052
SG: P2_1/m (11)

a b c (Å): 5.0287 10.0092 12.0561
angles (deg): 105.74 90.00 90.00
Sites, in units of the cell vectors:
In (0.7500, 0.5159, 0.4044)
In (0.2500, 0.4841, 0.5956)
In (0.7500, 0.5921, 0.0530)
In (0.2500, 0.9097, 0.7990)
In (0.2500, 0.1706, 0.0752)
In (0.2500, 0.4079, 0.9470)
In (0.2500, 0.7648, 0.5073)
In (0.7500, 0.0903, 0.2010)
In (0.7500, 0.9734, 0.6010)
In (0.7500, 0.2352, 0.4927)
In (0.2500, 0.0266, 0.3990)
In (0.7500, 0.8294, 0.9248)
Cd (0.7500, 0.6957, 0.6630)
Cd (0.2500, 0.3043, 0.3370)
Pb (0.7500, 0.8136, 0.3091)
Pb (0.7500, 0.4429, 0.7727)
Pb (0.2500, 0.1864, 0.6909)
Pb (0.7500, 0.1558, 0.8927)
Pb (0.2500, 0.8442, 0.1073)
Pb (0.2500, 0.5571, 0.2273)



2.
# Cd8InPb3

Cd8InPb3 after structural relaxation (PBE, Alexandria via LeMat-Bulk).

Properties
Uncorrected energy (eV/cell): -20.7
Energy of formation (eV/atom): 0.043
SG: R3m (160)

a b c (Å): 6.1948 6.1948 10.0359
angles (deg): 72.02 72.02 60.00
Sites, in units of the cell vectors:
Cd (0.9378, 0.4375, 0.1872)
Cd (0.4375, 0.9378, 0.1872)
Cd (0.4386, 0.9375, 0.6865)
Cd (0.9375, 0.4386, 0.6865)
Cd (0.6877, 0.6877, 0.9369)
Cd (0.9375, 0.9375, 0.6865)
Cd (0.1877, 0.1877, 0.4370)
Cd (0.4375, 0.4375, 0.1872)
Pb (0.3733, 0.3733, 0.8800)
Pb (0.5012, 0.5012, 0.4964)
Pb (0.0001, 0.0001, 0.9998)
In (0.8737, 0.8737, 0.3789)



Number 1: spin magnetization 0.000 Bohr magnetons per cell. Number 2: spin magnetization 0.000 Bohr magnetons per cell.